Below is an optimized crystal structure of Ce6Au3C2, with properties calculated at the PBE level.

Cell: 3.7651 3.7651 61.5124 Å, 90.00 90.00 120.00°
Space group R-3m (No. 166, hexagonal axes)
One atom of each set of equivalent atoms:
Ce: 0.0000 0.0000 0.1066 x6
Ce: 0.0000 0.0000 0.1820 x6
Ce: 0.0000 0.0000 0.3681 x6
Au: 0.0000 0.0000 0.0000 x3
Au: 0.0000 0.0000 0.2642 x6
C: 0.0000 0.0000 0.4604 x6

Results
Formation enthalpy at 0 K: -0.31 eV/atom
D(E_F): 2.0901 states/eV/atom
Total magnetic moment: 7.8 Bohr magnetons per cell
Final energy: -6.1148 eV/atom

Below is an optimized crystal structure of Ce3AuCCl, with properties calculated at the PBE level.

Cell: 8.059 3.665 10.027 Å, 90.00 100.16 90.00°
Space group P2_1/m (No. 11)
One atom of each set of equivalent atoms:
Ce: 0.072 0.250 0.371 x2
Ce: 0.194 0.250 0.892 x2
Ce: 0.349 0.750 0.601 x2
Au: 0.183 0.750 0.148 x2
C: 0.152 0.250 0.631 x2
Cl: 0.466 0.750 0.870 x2

Results
D(E_F): 2.2583 states/eV/atom
Uncorrected formation energy: -0.598 eV/atom
Total magnetic moment: 6.2 Bohr magnetons per cell
Final energy: -5.9563 eV/atom

Below is an optimized crystal structure of Ce2HoAuC, with properties calculated at the PBE level.

Cell: 4.880 4.880 4.858 Å, 90.00 90.00 90.00°
Space group P4/mmm (No. 123)
One atom of each set of equivalent atoms:
Ce: 0.000 0.500 0.000 x2
Ho: 0.000 0.000 0.500 x1
Au: 0.500 0.500 0.500 x1
C: 0.000 0.000 0.000 x1

Results
Formation enthalpy at 0 K: -0.31 eV/atom
D(E_F): 1.9793 states/eV/atom
Total magnetic moment: 0.6 Bohr magnetons per cell
Final energy: -6.1007 eV/atom

Below is an optimized crystal structure of La3CeAu2C, with properties calculated at the PBE level.

Cell: 4.862 5.214 15.256 Å, 90.00 90.00 90.00°
Space group Immm (No. 71)
One atom of each set of equivalent atoms:
La: 0.000 0.000 0.000 x2
La: 0.000 0.500 0.176 x4
Ce: 0.000 0.000 0.500 x2
Au: 0.000 0.500 0.370 x4
C: 0.000 0.500 0.000 x2

Results
Formation enthalpy at 0 K: -0.46 eV/atom
D(E_F): 1.1236 states/eV/atom
Total magnetic moment: 0.2 Bohr magnetons per cell
Final energy: -5.6700 eV/atom

Below is an optimized crystal structure of Ce2PmAuC, with properties calculated at the PBE level.

Cell: 4.673 4.905 5.165 Å, 90.00 90.00 90.00°
Space group Pmm2 (No. 25)
One atom of each set of equivalent atoms:
Ce: 0.000 0.000 0.000 x1
Ce: 0.500 0.500 0.127 x1
Pm: 0.000 0.500 0.559 x1
Au: 0.500 0.000 0.552 x1
C: 0.000 0.500 0.038 x1

Results
Formation enthalpy at 0 K: -0.27 eV/atom
D(E_F): 1.8696 states/eV/atom
Total magnetic moment: 0.6 Bohr magnetons per cell
Final energy: -6.0944 eV/atom

Below is an optimized crystal structure of CePm3Au2C, with properties calculated at the PBE level.

Cell: 4.807 5.042 15.035 Å, 90.00 90.00 90.00°
Space group Immm (No. 71)
One atom of each set of equivalent atoms:
Ce: 0.000 0.000 0.000 x2
Pm: 0.000 0.000 0.500 x2
Pm: 0.000 0.500 0.325 x4
Au: 0.000 0.500 0.130 x4
C: 0.000 0.500 0.500 x2

Results
Formation enthalpy at 0 K: -0.44 eV/atom
D(E_F): 1.1434 states/eV/atom
Total magnetic moment: 0.0 Bohr magnetons per cell
Final energy: -5.5737 eV/atom

Number 1 is which compound? Ce6Au3C2

What is the formula in the first record? Ce6Au3C2